Below is an optimized crystal structure of Cs2CaZnAs2, with properties calculated at the PBE level.

Values from the calculation:
Formation energy, kJ/mol of formula units: -363
Space-group type: Ibam (72)

```
data_Cs2CaZnAs2
_cell_length_a 9.774
_cell_length_b 9.774
_cell_length_c 9.774
_cell_angle_alpha 138.90
_cell_angle_beta 60.09
_cell_angle_gamma 138.16
_symmetry_space_group_name_H-M 'P 1'
_symmetry_Int_Tables_number 1
_symmetry_space_group_name_Hall 'P 1'
loop_
_atom_site_label
_atom_site_fract_x
_atom_site_fract_y
_atom_site_fract_z
_atom_site_occupancy
Cs1 0.175 0.232 0.407 1
Cs2 0.325 0.732 0.057 1
Cs3 0.675 0.268 0.943 1
Cs4 0.825 0.768 0.593 1
Ca1 0.250 0.750 0.500 1
Ca2 0.750 0.250 0.500 1
Zn1 0.250 0.250 0.000 1
Zn2 0.750 0.750 0.000 1
As1 0.081 0.779 0.861 1
As2 0.419 0.279 0.698 1
As3 0.581 0.721 0.302 1
As4 0.919 0.221 0.139 1
```